The following is a PBE calculation of Mn2IrOs after structural relaxation, from the Alexandria database.

Structure (CIF):
```
data_Mn2IrOs
_chemical_formula_sum 'Mn2 Ir1 Os1'
_cell_length_a 2.682
_cell_length_b 3.766
_cell_length_c 5.283
_cell_angle_alpha 90.00
_cell_angle_beta 90.00
_cell_angle_gamma 90.00
_symmetry_space_group_name_H-M 'P m m 2'
_symmetry_Int_Tables_number 25
loop_
_symmetry_equiv_pos_as_xyz
'x,y,z'
'-x,-y,z'
'-x,y,z'
'x,-y,z'
loop_
_atom_site_label
_atom_site_fract_x
_atom_site_fract_y
_atom_site_fract_z
_atom_site_occupancy
Mn1 0.000 0.000 0.000 1
Mn2 0.500 0.500 0.243 1
Ir1 0.500 0.500 0.748 1
Os1 0.000 0.000 0.489 1
```

- total DFT energy (no corrections) (eV/atom) = -9.6516
- calculated density (g/cm³) = 15.325
- energy above the lowest structure with this stoichiometry (meV/atom) = 70.2
- volume (Å³/atom) = 13.34
- ΔE_f (eV per formula unit) = -0.2


The following is a PBE calculation of BaSc2Pb after structural relaxation, from the Alexandria database.

Structure (CIF):
```
data_BaSc2Pb
_chemical_formula_sum 'Ba3 Sc6 Pb3'
_cell_length_a 3.5224
_cell_length_b 3.5224
_cell_length_c 36.1810
_cell_angle_alpha 90.00
_cell_angle_beta 90.00
_cell_angle_gamma 120.00
_symmetry_space_group_name_H-M 'R -3 m'
_symmetry_Int_Tables_number 166
_symmetry_space_group_name_Hall '-R 3 2"'
loop_
_atom_site_label
_atom_site_fract_x
_atom_site_fract_y
_atom_site_fract_z
_atom_site_occupancy
Ba1 0.0000 0.0000 0.0000 1
Sc1 0.0000 0.0000 0.4177 1
Pb1 0.0000 0.0000 0.5000 1
```

- total DFT energy (no corrections) (eV/atom) = -4.2201
- calculated density (g/cm³) = 5.567
- volume (Å³/atom) = 32.40
- ΔE_f (eV per formula unit) = 1.4


The following is a PBE calculation of Dy12TlRh6 after structural relaxation, from the Alexandria database.

Structure (CIF):
```
data_Dy12TlRh6
_chemical_formula_sum 'Dy24 Tl2 Rh12'
_cell_length_a 9.883
_cell_length_b 9.883
_cell_length_c 9.883
_cell_angle_alpha 90.00
_cell_angle_beta 90.00
_cell_angle_gamma 90.00
_symmetry_space_group_name_H-M 'I m -3'
_symmetry_Int_Tables_number 204
_symmetry_space_group_name_Hall '-I 2 2 3'
loop_
_atom_site_label
_atom_site_fract_x
_atom_site_fract_y
_atom_site_fract_z
_atom_site_occupancy
Dy1 0.000 0.189 0.301 1
Tl1 0.000 0.000 0.000 1
Rh1 0.000 0.370 0.500 1
```

- total DFT energy (no corrections) (eV/atom) = -5.9463
- calculated density (g/cm³) = 9.536
- volume (Å³/atom) = 25.40
- ΔE_f (eV per formula unit) = -11.3